--- 1 ---
NaSr8Li2 | GGA-PBE | optimized geometry

Total magnetization (μB per formula unit): 0.00
Symmetry: Immm

Lattice parameters (Å, degrees): 10.7113 10.7113 10.7113 149.03 121.59 67.58
Closest atoms and distances in Å follow each position.
Fractional positions:
Na  0.0000  0.0000  0.0000  8 Sr 3.81-4.22
Sr  0.1238  0.8348  0.2890  3 Li 3.67-3.84, 1 Sr 4.08
Sr  0.1417  0.6417  0.5000  2 Na 3.81, 2 Li 3.99, 8 Sr 4.08-4.18
Sr  0.3135  0.5000  0.8135  7 Sr 3.90-4.14, 2 Li 4.08, 2 Na 4.35
Sr  0.4542  0.1652  0.2890  3 Li 3.67-3.84, 1 Sr 4.08
Sr  0.5458  0.8348  0.7110  3 Li 3.67-3.84, 1 Sr 4.08
Sr  0.6865  0.5000  0.1865  7 Sr 3.90-4.14, 2 Li 4.08, 2 Na 4.35
Sr  0.8583  0.3583  0.5000  2 Na 3.81, 2 Li 3.99, 8 Sr 4.08-4.18
Sr  0.8762  0.1652  0.7110  3 Li 3.67-3.84, 1 Sr 4.08
Li  0.2984  0.2984  0.0000  10 Sr 3.67-4.08
Li  0.7016  0.7016  0.0000  10 Sr 3.67-4.08

--- 2 ---
NaSr8Li2 | GGA-PBE | optimized geometry

Total magnetization (μB per formula unit): 0.00
Symmetry: C2/m

Lattice parameters (Å, degrees): 9.5438 9.5438 6.7441 99.68 99.68 113.58
Closest atoms and distances in Å follow each position.
Fractional positions:
Na  0.0000  0.0000  0.0000  4 Sr 3.80-3.84
Sr  0.0758  0.3288  0.5906  2 Li 3.48-3.60
Sr  0.2382  0.7618  0.0000  2 Li 3.58, 1 Na 3.80
Sr  0.3288  0.0758  0.5906  2 Li 3.48-3.60
Sr  0.3855  0.3855  0.1867  2 Li 3.63, 1 Na 3.84, 1 Sr 3.97
Sr  0.6145  0.6145  0.8133  2 Li 3.63, 1 Na 3.84, 1 Sr 3.97
Sr  0.6712  0.9242  0.4094  2 Li 3.48-3.60
Sr  0.7618  0.2382  0.0000  2 Li 3.58, 1 Na 3.80
Sr  0.9242  0.6712  0.4094  2 Li 3.48-3.60
Li  0.3137  0.6863  0.5000  8 Sr 3.48-3.63
Li  0.6863  0.3137  0.5000  8 Sr 3.48-3.63

The structure with the least stability is 1.